# 1
ZrMo2As2 | Alexandria | PBE | relaxed; E_tot = -40.21 eV per formula unit; M_tot = 0.000 μB/atom; energy relative to the lowest polymorph listed for this composition = 86.3 meV per atom; energy of formation from the pure elements = -0.139 eV/atom; space-group type = No. 139
1.0
-2.1426 2.1426 4.9670
2.1426 -2.1426 4.9670
2.1426 2.1426 -4.9670
As Zr Mo
2 1 2
Cartesian
0.0000 0.0000 6.2004
0.0000 0.0000 3.7336
0.0000 0.0000 0.0000
2.1426 0.0000 2.4835
0.0000 2.1426 2.4835

***

# 2
As4N | Alexandria | PBE | relaxed; energy relative to the elements, uncorrected = 0.810 eV/atom; E_tot = -22.87 eV per formula unit; M_tot = 0.000 μB/atom; space-group type = No. 221
1.0
4.3964 0.0000 0.0000
0.0000 4.3964 0.0000
0.0000 0.0000 4.3964
As N
4 1
Cartesian
0.0000 2.1982 2.1982
2.1982 2.1982 0.0000
2.1982 0.0000 2.1982
0.0000 0.0000 0.0000
2.1982 2.1982 2.1982

***

# 3
AsN4 | Alexandria | PBE | relaxed; energy relative to the elements, uncorrected = 2.916 eV/atom; E_tot = -23.37 eV per formula unit; M_tot = 0.099 μB/atom; space-group type = No. 221
1.0
3.7575 0.0000 0.0000
0.0000 3.7575 0.0000
0.0000 0.0000 3.7575
N As
4 1
Cartesian
1.8787 0.0000 1.8787
1.8787 1.8787 0.0000
0.0000 1.8787 1.8787
0.0000 0.0000 0.0000
1.8787 1.8787 1.8787

***

# 4
Na2AsN | Alexandria | PBE | relaxed; energy relative to the elements, uncorrected = 0.807 eV/atom; E_tot = -12.39 eV per formula unit; M_tot = 0.000 μB/atom; energy relative to the lowest polymorph listed for this composition = 567.0 meV per atom; space-group type = No. 225
1.0
0.0000 3.2521 3.2521
3.2521 0.0000 3.2521
3.2521 3.2521 0.0000
As Na N
1 2 1
Cartesian
3.2521 3.2521 3.2521
4.8781 4.8781 4.8781
1.6260 1.6260 1.6260
0.0000 0.0000 0.0000

***

# 5
Na2AsN | Alexandria | PBE | relaxed; energy relative to the elements, uncorrected = 0.240 eV/atom; E_tot = -14.65 eV per formula unit; M_tot = 0.000 μB/atom; energy relative to the lowest polymorph listed for this composition = 0.0 meV per atom; space-group type = No. 122
1.0
9.8090 0.0000 0.0000
0.0000 9.8090 0.0000
4.9045 4.9045 2.0323
Na N As
4 2 2
Cartesian
4.9931 2.4522 0.5081
7.3567 9.7204 1.5243
4.8159 7.3567 0.5081
12.2612 9.8975 1.5243
4.9045 9.8090 1.0162
4.9045 4.9045 0.0000
9.8090 4.9045 1.0162
0.0000 0.0000 0.0000

***

# 6
NaAsNO2 | Alexandria | PBE | relaxed; energy relative to the elements, uncorrected = -0.307 eV/atom; E_tot = -25.74 eV per formula unit; M_tot = 0.244 μB/atom; space-group type = No. 123
1.0
3.8173 0.0000 0.0000
0.0000 3.8173 0.0000
0.0000 0.0000 3.7681
O As Na N
2 1 1 1
Cartesian
1.9087 0.0000 0.0000
0.0000 1.9087 0.0000
0.0000 0.0000 0.0000
1.9087 1.9087 1.8841
0.0000 0.0000 1.8841

***

# 7
NaAsN2O | Alexandria | PBE | relaxed; energy relative to the elements, uncorrected = 1.638 eV/atom; E_tot = -19.39 eV per formula unit; M_tot = 0.057 μB/atom; space-group type = No. 123
1.0
3.9201 0.0000 0.0000
0.0000 3.8679 0.0000
0.0000 0.0000 3.9201
N Na O As
2 1 1 1
Cartesian
1.9601 0.0000 0.0000
0.0000 0.0000 1.9601
0.0000 1.9340 0.0000
0.0000 0.0000 0.0000
1.9601 1.9340 1.9601

***

# 8
NaAsN2O | Alexandria | PBE | relaxed; energy relative to the elements, uncorrected = 1.996 eV/atom; E_tot = -17.60 eV per formula unit; M_tot = 0.800 μB/atom; space-group type = No. 123
1.0
-2.3730 2.4120 -2.5324
-3.4942 -1.7640 1.5941
-0.1411 2.8647 2.8608
As O N Na
1 1 2 1
Cartesian
-3.0042 1.7563 0.9612
-0.0706 1.4324 1.4304
-1.7471 -0.8820 0.7970
-1.1865 1.2060 -1.2662
0.0000 0.0000 0.0000

***

# 9
NaAsNO2 | Alexandria | PBE | relaxed; energy relative to the elements, uncorrected = 1.309 eV/atom; E_tot = -17.67 eV per formula unit; M_tot = 0.602 μB/atom; space-group type = No. 123
1.0
4.0543 0.0000 0.0000
0.0000 4.0543 0.0000
0.0000 0.0000 4.1370
As Na O N
1 1 2 1
Cartesian
2.0272 2.0272 2.0685
0.0000 0.0000 0.0000
0.0000 2.0272 0.0000
2.0272 0.0000 0.0000
0.0000 0.0000 2.0685

***

# 10
NaAsN2O | Alexandria | PBE | relaxed; energy relative to the elements, uncorrected = 0.496 eV/atom; E_tot = -25.10 eV per formula unit; M_tot = 0.326 μB/atom; space-group type = No. 123
1.0
-1.6206 2.2566 2.5684
-3.0882 -2.1857 -0.0281
1.5133 -2.1751 2.8659
Na As N O
1 1 2 1
Cartesian
-1.5977 -1.0521 2.7031
0.0000 0.0000 0.0000
-0.8103 1.1283 1.2842
-1.5441 -1.0929 -0.0141
0.7567 -1.0875 1.4330

***

# 11
NaAsOsN2 | Alexandria | PBE | relaxed; energy relative to the elements, uncorrected = 2.882 eV/atom; E_tot = -19.44 eV per formula unit; M_tot = 0.006 μB/atom; space-group type = No. 123
1.0
3.9453 0.0000 0.0000
0.0000 4.7324 0.0000
0.0000 0.0000 3.9453
N Os Na As
2 1 1 1
Cartesian
1.9726 0.0000 0.0000
0.0000 0.0000 1.9726
1.9726 2.3662 1.9726
0.0000 0.0000 0.0000
0.0000 2.3662 0.0000

***

# 12
NaAsOs2N | Alexandria | PBE | relaxed; energy relative to the elements, uncorrected = 2.314 eV/atom; E_tot = -25.18 eV per formula unit; M_tot = 0.000 μB/atom; space-group type = No. 123
1.0
-1.6793 3.0100 2.9242
1.3034 -3.0235 3.8607
4.0327 2.0289 0.2275
Na N Os As
1 1 2 1
Cartesian
0.6517 -1.5117 1.9304
1.8284 1.0077 3.5062
2.0164 1.0144 0.1137
-0.8396 1.5050 1.4621
0.0000 0.0000 0.0000

***

# 13
NaPa2As2N6 | Alexandria | PBE | relaxed; energy relative to the elements, uncorrected = -0.414 eV/atom; E_tot = -84.11 eV per formula unit; M_tot = 0.000 μB/atom; space-group type = No. 2
1.0
6.4160 -0.0012 0.0053
3.2008 5.7819 -0.4118
0.0041 -3.6465 5.7735
N Pa Na As
6 2 1 2
Cartesian
8.2660 0.2935 4.6720
6.4094 -0.6525 2.2572
4.5732 0.3014 4.6782
3.2115 2.7867 3.1099
5.0477 1.8328 0.6889
1.3549 1.8407 0.6951
3.2039 2.9645 0.8426
6.4169 -0.8303 4.5245
3.2101 -1.8239 2.8894
6.4108 0.6751 1.0123
3.2101 1.4591 4.3548

***

# 14
NaAs2RhN | Alexandria | PBE | relaxed; energy relative to the elements, uncorrected = 2.307 eV/atom; E_tot = -14.76 eV per formula unit; M_tot = 0.467 μB/atom; space-group type = No. 123
1.0
-3.6464 1.0116 3.1198
-3.1360 -1.6583 -3.1277
0.4250 -4.4802 1.9493
Na N As Rh
1 1 2 1
Cartesian
0.0000 0.0000 0.0000
-3.1787 -2.5635 0.9707
-1.8232 0.5058 1.5599
0.2125 -2.2401 0.9747
-1.5680 -0.8292 -1.5638

***

# 15
NaAsSN2 | Alexandria | PBE | relaxed; energy relative to the elements, uncorrected = 0.898 eV/atom; E_tot = -22.25 eV per formula unit; M_tot = 0.397 μB/atom; energy relative to the lowest polymorph listed for this composition = 0.0 meV per atom; space-group type = No. 123
1.0
-2.9833 -0.5995 -2.3785
2.4083 -1.4267 -2.6611
-0.6015 -4.5719 1.9068
N S Na As
2 1 1 1
Cartesian
1.2042 -0.7134 -1.3305
-1.4916 -0.2997 -1.1893
-0.3008 -2.2860 0.9534
-0.5883 -3.2991 -1.5664
0.0000 0.0000 0.0000

***

# 16
NaAsSN2 | Alexandria | PBE | relaxed; energy relative to the elements, uncorrected = 2.076 eV/atom; E_tot = -16.37 eV per formula unit; M_tot = 0.809 μB/atom; energy relative to the lowest polymorph listed for this composition = 1177.4 meV per atom; space-group type = No. 123
1.0
-4.1594 0.7460 0.6472
-0.1884 -3.3494 2.6499
1.1804 3.1042 4.0076
Na N As S
1 2 1 1
Cartesian
0.0000 0.0000 0.0000
-2.0797 0.3730 0.3236
-0.0942 -1.6747 1.3249
-1.5837 0.2504 3.6524
0.5902 1.5521 2.0038

***

# 17
NaAsSe2N | Alexandria | PBE | relaxed; energy relative to the elements, uncorrected = 1.364 eV/atom; E_tot = -14.44 eV per formula unit; M_tot = 0.602 μB/atom; energy relative to the lowest polymorph listed for this composition = 960.6 meV per atom; space-group type = No. 123
1.0
5.2052 0.0000 0.0000
0.0000 5.2052 0.0000
0.0000 0.0000 4.1833
Se N Na As
2 1 1 1
Cartesian
2.6026 0.0000 0.0000
0.0000 2.6026 0.0000
0.0000 0.0000 2.0917
0.0000 0.0000 0.0000
2.6026 2.6026 2.0917

***

# 18
NaAsSe2N | Alexandria | PBE | relaxed; energy relative to the elements, uncorrected = 0.516 eV/atom; E_tot = -18.69 eV per formula unit; M_tot = 0.079 μB/atom; energy relative to the lowest polymorph listed for this composition = 112.5 meV per atom; space-group type = No. 123
1.0
4.8024 0.0000 0.0000
0.0000 4.8024 0.0000
0.0000 0.0000 4.1052
N Se As Na
1 2 1 1
Cartesian
0.0000 0.0000 0.0000
2.4012 0.0000 0.0000
0.0000 2.4012 0.0000
0.0000 0.0000 2.0526
2.4012 2.4012 2.0526

***

# 19
NaAsSeN2 | Alexandria | PBE | relaxed; energy relative to the elements, uncorrected = 0.949 eV/atom; E_tot = -21.36 eV per formula unit; M_tot = 0.396 μB/atom; energy relative to the lowest polymorph listed for this composition = 0.0 meV per atom; space-group type = No. 123
1.0
3.9066 0.0000 0.0000
0.0000 3.9066 0.0000
0.0000 0.0000 5.2780
N As Na Se
2 1 1 1
Cartesian
0.0000 1.9533 0.0000
1.9533 0.0000 0.0000
0.0000 0.0000 0.0000
1.9533 1.9533 2.6390
0.0000 0.0000 2.6390

***

# 20
NaAsSe2N | Alexandria | PBE | relaxed; energy relative to the elements, uncorrected = 0.403 eV/atom; E_tot = -19.25 eV per formula unit; M_tot = 0.000 μB/atom; energy relative to the lowest polymorph listed for this composition = 0.0 meV per atom; space-group type = No. 123
1.0
-1.0432 -0.8562 5.2173
-3.9300 -3.4318 -1.3489
2.3601 -2.7132 0.0266
Na As Se N
1 1 2 1
Cartesian
-1.3066 -3.5006 1.9475
0.0000 0.0000 0.0000
-1.9650 -1.7159 -0.6745
-0.5216 -0.4281 2.6087
1.1800 -1.3566 0.0133